Ho4PtRh2 PBE-GGA optimized geometry; theoretical density = 11.10 g cm⁻³; M_tot = 0.000 μB per formula unit; SG = No. 166; E_tot = -45.3 eV for the cell shown; formation energy from the elements = -897 meV per atom
1.0
2.403 1.388 7.932
-2.403 1.388 7.932
0.000 -2.775 7.932
Ho Pt Rh
4 1 2
Direct
0.123 0.123 0.123
0.374 0.374 0.374
0.626 0.626 0.626
0.877 0.877 0.877
0.500 0.500 0.500
0.250 0.250 0.250
0.750 0.750 0.750